## KCd2Mo (meta-GGA SCAN)

Data for a crystal of KCd2Mo relaxed with PBEsol.

Geometry as CIF:
```
data_KCd2Mo
_chemical_formula_sum 'K2 Cd4 Mo2'
_symmetry_space_group_name_H-M 'C 1 2/m 1'
_symmetry_Int_Tables_number 12
_symmetry_space_group_name_Hall '-C 2y'
_cell_length_a 9.5374
_cell_length_b 2.7490
_cell_length_c 7.3136
_cell_angle_alpha 90.00
_cell_angle_beta 93.56
_cell_angle_gamma 90.00
loop_
_atom_site_label
_atom_site_type_symbol
_atom_site_fract_x
_atom_site_fract_y
_atom_site_fract_z
K1 K 0.0000 0.0000 0.0000
Cd1 Cd 0.2401 0.0000 0.6824
Mo1 Mo 0.0000 0.5000 0.5000
```

Summary:
- Energy above the most stable polymorph in this dataset: 36 meV per atom
- ρ: 6245 kg/m³
- ΔE_f: 626 meV/atom

## K10Zr3CdMo12O48 (meta-GGA SCAN)

Data for a crystal of K10Zr3CdMo12O48 relaxed with PBEsol.

Geometry as CIF:
```
data_K10Zr3CdMo12O48
_chemical_formula_sum 'K30 Zr9 Cd3 Mo36 O144'
_symmetry_space_group_name_H-M 'R 3'
_symmetry_Int_Tables_number 146
_symmetry_space_group_name_Hall 'R 3'
_cell_length_a 10.6436
_cell_length_b 10.6436
_cell_length_c 37.5501
_cell_angle_alpha 90.00
_cell_angle_beta 90.00
_cell_angle_gamma 120.00
loop_
_atom_site_label
_atom_site_type_symbol
_atom_site_fract_x
_atom_site_fract_y
_atom_site_fract_z
K1 K 0.0000 0.0000 0.0000
K2 K 0.0000 0.0000 0.1956
K3 K 0.0000 0.0000 0.4901
K4 K 0.0000 0.0000 0.7065
K5 K 0.0012 0.6335 0.0981
K6 K 0.0598 0.3368 0.9315
Zr1 Zr 0.0000 0.0000 0.3496
Zr2 Zr 0.0000 0.0000 0.5979
Zr3 Zr 0.0000 0.0000 0.8467
Cd1 Cd 0.0000 0.0000 0.0976
Mo1 Mo 0.0145 0.6251 0.2131
Mo2 Mo 0.0147 0.3765 0.7139
Mo3 Mo 0.0451 0.3486 0.8154
Mo4 Mo 0.0563 0.7087 0.3166
O1 O 0.0063 0.7320 0.5021
O2 O 0.0108 0.7704 0.2329
O3 O 0.0143 0.1636 0.8157
O4 O 0.0202 0.2945 0.1928
O5 O 0.0286 0.2450 0.7387
O6 O 0.0351 0.8658 0.3139
O7 O 0.0562 0.3661 0.6698
O8 O 0.0681 0.6750 0.3609
O9 O 0.0781 0.8933 0.5666
O10 O 0.0839 0.1958 0.0619
O11 O 0.1031 0.6749 0.6308
O12 O 0.1172 0.4215 0.1246
O13 O 0.1636 0.0141 0.3806
O14 O 0.1690 0.1355 0.8823
O15 O 0.1847 0.1085 0.6290
O16 O 0.1962 0.0853 0.1332
```

Summary:
- ΔE_f (raw): -2.41 eV per atom
- ρ: 3646 kg/m³

## K2CdN (meta-GGA SCAN)

Data for a crystal of K2CdN relaxed with PBEsol.

Geometry as CIF:
```
data_K2CdN
_chemical_formula_sum 'K8 Cd4 N4'
_symmetry_space_group_name_H-M 'I -4 2 d'
_symmetry_Int_Tables_number 122
_symmetry_space_group_name_Hall 'I -4 2bw'
_cell_length_a 11.5836
_cell_length_b 11.5836
_cell_length_c 4.1577
_cell_angle_alpha 90.00
_cell_angle_beta 90.00
_cell_angle_gamma 90.00
loop_
_atom_site_label
_atom_site_type_symbol
_atom_site_fract_x
_atom_site_fract_y
_atom_site_fract_z
K1 K 0.0346 0.7500 0.1250
Cd1 Cd 0.0000 0.0000 0.5000
N1 N 0.0000 0.0000 0.0000
```

Summary:
- ΔE_f (raw): 0.25 eV per atom
- ρ: 2436 kg/m³

## KNaCd2 (meta-GGA SCAN)

Data for a crystal of KNaCd2 relaxed with PBEsol.

Geometry as CIF:
```
data_KNaCd2
_chemical_formula_sum 'K4 Na4 Cd8'
_symmetry_space_group_name_H-M 'F m -3 m'
_symmetry_Int_Tables_number 225
_symmetry_space_group_name_Hall '-F 4 2 3'
_cell_length_a 7.8666
_cell_length_b 7.8666
_cell_length_c 7.8666
_cell_angle_alpha 90.00
_cell_angle_beta 90.00
_cell_angle_gamma 90.00
loop_
_atom_site_label
_atom_site_type_symbol
_atom_site_fract_x
_atom_site_fract_y
_atom_site_fract_z
K1 K 0.0000 0.0000 0.0000
Na1 Na 0.0000 0.0000 0.5000
Cd1 Cd 0.2500 0.2500 0.2500
```

Summary:
- ρ: 3915 kg/m³
- ΔE_f: 9 meV/atom

## KNaCd2Re (meta-GGA SCAN)

Data for a crystal of KNaCd2Re relaxed with PBEsol.

Geometry as CIF:
```
data_KNaCd2Re
_chemical_formula_sum 'K1 Na1 Cd2 Re1'
_symmetry_space_group_name_H-M 'P 4/m m m'
_symmetry_Int_Tables_number 123
_symmetry_space_group_name_Hall '-P 4 2'
_cell_length_a 5.2814
_cell_length_b 5.2814
_cell_length_c 5.8277
_cell_angle_alpha 90.00
_cell_angle_beta 90.00
_cell_angle_gamma 90.00
loop_
_atom_site_label
_atom_site_type_symbol
_atom_site_fract_x
_atom_site_fract_y
_atom_site_fract_z
K1 K 0.0000 0.0000 0.0000
Na1 Na 0.5000 0.5000 0.0000
Cd1 Cd 0.0000 0.5000 0.5000
Re1 Re 0.0000 0.0000 0.5000
```

Summary:
- ρ: 4833 kg/m³
- ΔE_f: 953 meV/atom

## K6Na14Tl18Cd (meta-GGA SCAN)

Data for a crystal of K6Na14Tl18Cd relaxed with PBEsol.

Geometry as CIF:
```
data_K6Na14Tl18Cd
_chemical_formula_sum 'K6 Na14 Tl18 Cd1'
_symmetry_space_group_name_H-M 'P m -3'
_symmetry_Int_Tables_number 200
_symmetry_space_group_name_Hall '-P 2 2 3'
_cell_length_a 10.5173
_cell_length_b 10.5173
_cell_length_c 10.5173
_cell_angle_alpha 90.00
_cell_angle_beta 90.00
_cell_angle_gamma 90.00
loop_
_atom_site_label
_atom_site_type_symbol
_atom_site_fract_x
_atom_site_fract_y
_atom_site_fract_z
K1 K 0.0000 0.3113 0.5000
Na1 Na 0.0000 0.5000 0.1666
Na2 Na 0.2189 0.2189 0.2189
Tl1 Tl 0.0000 0.0000 0.2203
Tl2 Tl 0.2447 0.5000 0.3450
Cd1 Cd 0.5000 0.5000 0.5000
```

Summary:
- ρ: 6206 kg/m³
- ΔE_f: -243 meV/atom

## KCdNi2 (meta-GGA SCAN)

Data for a crystal of KCdNi2 relaxed with PBEsol.

Geometry as CIF:
```
data_KCdNi2
_chemical_formula_sum 'K2 Cd2 Ni4'
_symmetry_space_group_name_H-M 'I m m 2'
_symmetry_Int_Tables_number 44
_symmetry_space_group_name_Hall 'I 2 -2'
_cell_length_a 2.7028
_cell_length_b 5.0498
_cell_length_c 10.4294
_cell_angle_alpha 90.00
_cell_angle_beta 90.00
_cell_angle_gamma 90.00
loop_
_atom_site_label
_atom_site_type_symbol
_atom_site_fract_x
_atom_site_fract_y
_atom_site_fract_z
K1 K 0.0000 0.0000 0.0000
Cd1 Cd 0.0000 0.5000 0.2006
Ni1 Ni 0.0000 0.0000 0.4718
Ni2 Ni 0.0000 0.5000 0.7888
```

Summary:
- ρ: 6274 kg/m³
- ΔE_f: 546 meV/atom

## K2CdNi (meta-GGA SCAN)

Data for a crystal of K2CdNi relaxed with PBEsol.

Geometry as CIF:
```
data_K2CdNi
_chemical_formula_sum 'K4 Cd2 Ni2'
_symmetry_space_group_name_H-M 'C 1 2/m 1'
_symmetry_Int_Tables_number 12
_symmetry_space_group_name_Hall '-C 2y'
_cell_length_a 5.8087
_cell_length_b 8.1865
_cell_length_c 4.6238
_cell_angle_alpha 90.00
_cell_angle_beta 90.28
_cell_angle_gamma 90.00
loop_
_atom_site_label
_atom_site_type_symbol
_atom_site_fract_x
_atom_site_fract_y
_atom_site_fract_z
K1 K 0.2500 0.2500 0.0000
Cd1 Cd 0.0000 0.0000 0.5000
Ni1 Ni 0.0000 0.5000 0.5000
```

Summary:
- ρ: 3766 kg/m³
- ΔE_f: 575 meV/atom

## K2CdNi (meta-GGA SCAN)

Data for a crystal of K2CdNi relaxed with PBEsol.

Geometry as CIF:
```
data_K2CdNi
_chemical_formula_sum 'K6 Cd3 Ni3'
_symmetry_space_group_name_H-M 'R -3 m'
_symmetry_Int_Tables_number 166
_symmetry_space_group_name_Hall '-R 3 2"'
_cell_length_a 3.3892
_cell_length_b 3.3892
_cell_length_c 32.4680
_cell_angle_alpha 90.00
_cell_angle_beta 90.00
_cell_angle_gamma 120.00
loop_
_atom_site_label
_atom_site_type_symbol
_atom_site_fract_x
_atom_site_fract_y
_atom_site_fract_z
K1 K 0.0000 0.0000 0.2394
Cd1 Cd 0.0000 0.0000 0.0000
Ni1 Ni 0.0000 0.0000 0.5000
```

Summary:
- ρ: 3845 kg/m³
- ΔE_f: 709 meV/atom

## K2CdNi (meta-GGA SCAN)

Data for a crystal of K2CdNi relaxed with PBEsol.

Geometry as CIF:
```
data_K2CdNi
_chemical_formula_sum 'K4 Cd2 Ni2'
_symmetry_space_group_name_H-M 'I m m 2'
_symmetry_Int_Tables_number 44
_symmetry_space_group_name_Hall 'I 2 -2'
_cell_length_a 4.5335
_cell_length_b 5.6994
_cell_length_c 9.5558
_cell_angle_alpha 90.00
_cell_angle_beta 90.00
_cell_angle_gamma 90.00
loop_
_atom_site_label
_atom_site_type_symbol
_atom_site_fract_x
_atom_site_fract_y
_atom_site_fract_z
K1 K 0.0000 0.0000 0.0000
K2 K 0.0000 0.5000 0.1936
Cd1 Cd 0.0000 0.0000 0.4021
Ni1 Ni 0.0000 0.5000 0.7974
```

Summary:
- ρ: 3353 kg/m³
- ΔE_f: 359 meV/atom

## KCdNi2 (meta-GGA SCAN)

Data for a crystal of KCdNi2 relaxed with PBEsol.

Geometry as CIF:
```
data_KCdNi2
_chemical_formula_sum 'K1 Cd1 Ni2'
_symmetry_space_group_name_H-M 'P m m m'
_symmetry_Int_Tables_number 47
_symmetry_space_group_name_Hall '-P 2 2'
_cell_length_a 2.8557
_cell_length_b 4.6786
_cell_length_c 5.1048
_cell_angle_alpha 90.00
_cell_angle_beta 90.00
_cell_angle_gamma 90.00
loop_
_atom_site_label
_atom_site_type_symbol
_atom_site_fract_x
_atom_site_fract_y
_atom_site_fract_z
K1 K 0.0000 0.0000 0.0000
Cd1 Cd 0.5000 0.0000 0.5000
Ni1 Ni 0.0000 0.5000 0.5000
Ni2 Ni 0.5000 0.5000 0.0000
```

Summary:
- ρ: 6547 kg/m³
- ΔE_f: 850 meV/atom

## KCdNi2 (meta-GGA SCAN)

Data for a crystal of KCdNi2 relaxed with PBEsol.

Geometry as CIF:
```
data_KCdNi2
_chemical_formula_sum 'K2 Cd2 Ni4'
_symmetry_space_group_name_H-M 'I -4 m 2'
_symmetry_Int_Tables_number 119
_symmetry_space_group_name_Hall 'I -4 -2'
_cell_length_a 4.0192
_cell_length_b 4.0192
_cell_length_c 8.5658
_cell_angle_alpha 90.00
_cell_angle_beta 90.00
_cell_angle_gamma 90.00
loop_
_atom_site_label
_atom_site_type_symbol
_atom_site_fract_x
_atom_site_fract_y
_atom_site_fract_z
K1 K 0.0000 0.0000 0.0000
Cd1 Cd 0.0000 0.5000 0.7500
Ni1 Ni 0.0000 0.0000 0.5000
Ni2 Ni 0.0000 0.5000 0.2500
```

Summary:
- ρ: 6454 kg/m³
- ΔE_f: 889 meV/atom

## KCd3Ni (meta-GGA SCAN)

Data for a crystal of KCd3Ni relaxed with PBEsol.

Geometry as CIF:
```
data_KCd3Ni
_chemical_formula_sum 'K1 Cd3 Ni1'
_symmetry_space_group_name_H-M 'P m -3 m'
_symmetry_Int_Tables_number 221
_symmetry_space_group_name_Hall '-P 4 2 3'
_cell_length_a 5.0005
_cell_length_b 5.0005
_cell_length_c 5.0005
_cell_angle_alpha 90.00
_cell_angle_beta 90.00
_cell_angle_gamma 90.00
loop_
_atom_site_label
_atom_site_type_symbol
_atom_site_fract_x
_atom_site_fract_y
_atom_site_fract_z
K1 K 0.0000 0.0000 0.0000
Cd1 Cd 0.0000 0.5000 0.5000
Ni1 Ni 0.5000 0.5000 0.5000
```

Summary:
- ρ: 5777 kg/m³
- ΔE_f: -20 meV/atom

## KCdNi2 (meta-GGA SCAN)

Data for a crystal of KCdNi2 relaxed with PBEsol.

Geometry as CIF:
```
data_KCdNi2
_chemical_formula_sum 'K2 Cd2 Ni4'
_symmetry_space_group_name_H-M 'C 1 2/m 1'
_symmetry_Int_Tables_number 12
_symmetry_space_group_name_Hall '-C 2y'
_cell_length_a 8.9846
_cell_length_b 2.8172
_cell_length_c 6.5466
_cell_angle_alpha 90.00
_cell_angle_beta 97.22
_cell_angle_gamma 90.00
loop_
_atom_site_label
_atom_site_type_symbol
_atom_site_fract_x
_atom_site_fract_y
_atom_site_fract_z
K1 K 0.0000 0.0000 0.0000
Cd1 Cd 0.0000 0.5000 0.5000
Ni1 Ni 0.2351 0.0000 0.6383
```

Summary:
- ρ: 5432 kg/m³
- ΔE_f: 488 meV/atom

## KCdP2O (meta-GGA SCAN)

Data for a crystal of KCdP2O relaxed with PBEsol.

Geometry as CIF:
```
data_KCdP2O
_chemical_formula_sum 'K1 Cd1 P2 O1'
_symmetry_space_group_name_H-M 'P 4/m m m'
_symmetry_Int_Tables_number 123
_symmetry_space_group_name_Hall '-P 4 2'
_cell_length_a 5.0451
_cell_length_b 5.0451
_cell_length_c 4.3517
_cell_angle_alpha 90.00
_cell_angle_beta 90.00
_cell_angle_gamma 90.00
loop_
_atom_site_label
_atom_site_type_symbol
_atom_site_fract_x
_atom_site_fract_y
_atom_site_fract_z
K1 K 0.0000 0.0000 0.0000
Cd1 Cd 0.5000 0.5000 0.5000
P1 P 0.0000 0.5000 0.5000
O1 O 0.5000 0.5000 0.0000
```

Summary:
- ΔE_f (raw): 0.43 eV per atom
- Energy above the most stable polymorph in this dataset: 0 meV per atom
- ρ: 3440 kg/m³

## K2CdP2O7 (meta-GGA SCAN)

Data for a crystal of K2CdP2O7 relaxed with PBEsol.

Geometry as CIF:
```
data_K2CdP2O7
_chemical_formula_sum 'K8 Cd4 P8 O28'
_symmetry_space_group_name_H-M 'C 1 2/c 1'
_symmetry_Int_Tables_number 15
_symmetry_space_group_name_Hall '-C 2yc'
_cell_length_a 9.7529
_cell_length_b 5.5571
_cell_length_c 12.7947
_cell_angle_alpha 90.00
_cell_angle_beta 106.90
_cell_angle_gamma 90.00
loop_
_atom_site_label
_atom_site_type_symbol
_atom_site_fract_x
_atom_site_fract_y
_atom_site_fract_z
K1 K 0.1492 0.2062 0.1676
Cd1 Cd 0.2500 0.2500 0.5000
P1 P 0.0267 0.2840 0.8702
O1 O 0.0000 0.1547 0.7500
O2 O 0.1049 0.4791 0.3649
O3 O 0.1120 0.0965 0.9481
O4 O 0.1259 0.3248 0.6222
```

Summary:
- ΔE_f (raw): -2.38 eV per atom
- ρ: 3649 kg/m³

## KCdP2O (meta-GGA SCAN)

Data for a crystal of KCdP2O relaxed with PBEsol.

Geometry as CIF:
```
data_KCdP2O
_chemical_formula_sum 'K1 Cd1 P2 O1'
_symmetry_space_group_name_H-M 'P 4/m m m'
_symmetry_Int_Tables_number 123
_symmetry_space_group_name_Hall '-P 4 2'
_cell_length_a 5.2810
_cell_length_b 5.2810
_cell_length_c 4.3217
_cell_angle_alpha 90.00
_cell_angle_beta 90.00
_cell_angle_gamma 90.00
loop_
_atom_site_label
_atom_site_type_symbol
_atom_site_fract_x
_atom_site_fract_y
_atom_site_fract_z
K1 K 0.0000 0.0000 0.0000
Cd1 Cd 0.5000 0.5000 0.5000
P1 P 0.0000 0.5000 0.0000
O1 O 0.0000 0.0000 0.5000
```

Summary:
- ΔE_f (raw): 1.42 eV per atom
- Energy above the most stable polymorph in this dataset: 998 meV per atom
- ρ: 3161 kg/m³

## KCdP3O9 (meta-GGA SCAN)

Data for a crystal of KCdP3O9 relaxed with PBEsol.

Geometry as CIF:
```
data_KCdP3O9
_chemical_formula_sum 'K2 Cd2 P6 O18'
_symmetry_space_group_name_H-M 'P -6 c 2'
_symmetry_Int_Tables_number 188
_symmetry_space_group_name_Hall 'P -6c 2'
_cell_length_a 6.7978
_cell_length_b 6.7978
_cell_length_c 10.1807
_cell_angle_alpha 90.00
_cell_angle_beta 90.00
_cell_angle_gamma 120.00
loop_
_atom_site_label
_atom_site_type_symbol
_atom_site_fract_x
_atom_site_fract_y
_atom_site_fract_z
K1 K 0.0000 0.0000 0.0000
Cd1 Cd 0.3333 0.6667 0.0000
P1 P 0.4362 0.0616 0.2500
O1 O 0.0559 0.3856 0.1235
O2 O 0.4375 0.1386 0.7500
```

Summary:
- ΔE_f (raw): -2.34 eV per atom
- ρ: 3166 kg/m³

## K2CdPbO (meta-GGA SCAN)

Data for a crystal of K2CdPbO relaxed with PBEsol.

Geometry as CIF:
```
data_K2CdPbO
_chemical_formula_sum 'K2 Cd1 Pb1 O1'
_symmetry_space_group_name_H-M 'P 4/m m m'
_symmetry_Int_Tables_number 123
_symmetry_space_group_name_Hall '-P 4 2'
_cell_length_a 5.1827
_cell_length_b 5.1827
_cell_length_c 4.9783
_cell_angle_alpha 90.00
_cell_angle_beta 90.00
_cell_angle_gamma 90.00
loop_
_atom_site_label
_atom_site_type_symbol
_atom_site_fract_x
_atom_site_fract_y
_atom_site_fract_z
K1 K 0.0000 0.5000 0.0000
Cd1 Cd 0.0000 0.0000 0.5000
Pb1 Pb 0.5000 0.5000 0.5000
O1 O 0.5000 0.5000 0.0000
```

Summary:
- ΔE_f (raw): -0.56 eV per atom
- ρ: 5139 kg/m³

## KCd2Os (meta-GGA SCAN)

Data for a crystal of KCd2Os relaxed with PBEsol.

Geometry as CIF:
```
data_KCd2Os
_chemical_formula_sum 'K3 Cd6 Os3'
_symmetry_space_group_name_H-M 'R -3 m'
_symmetry_Int_Tables_number 166
_symmetry_space_group_name_Hall '-R 3 2"'
_cell_length_a 2.9219
_cell_length_b 2.9219
_cell_length_c 32.0104
_cell_angle_alpha 90.00
_cell_angle_beta 90.00
_cell_angle_gamma 120.00
loop_
_atom_site_label
_atom_site_type_symbol
_atom_site_fract_x
_atom_site_fract_y
_atom_site_fract_z
K1 K 0.0000 0.0000 0.0000
Cd1 Cd 0.0000 0.0000 0.2391
Os1 Os 0.0000 0.0000 0.5000
```

Summary:
- ρ: 9559 kg/m³
- ΔE_f: 639 meV/atom

## KRbCdOs2 (meta-GGA SCAN)

Data for a crystal of KRbCdOs2 relaxed with PBEsol.

Geometry as CIF:
```
data_KRbCdOs2
_chemical_formula_sum 'K1 Rb1 Cd1 Os2'
_symmetry_space_group_name_H-M 'P 4/m m m'
_symmetry_Int_Tables_number 123
_symmetry_space_group_name_Hall '-P 4 2'
_cell_length_a 5.0482
_cell_length_b 5.0482
_cell_length_c 5.9749
_cell_angle_alpha 90.00
_cell_angle_beta 90.00
_cell_angle_gamma 90.00
loop_
_atom_site_label
_atom_site_type_symbol
_atom_site_fract_x
_atom_site_fract_y
_atom_site_fract_z
K1 K 0.0000 0.0000 0.0000
Rb1 Rb 0.5000 0.5000 0.0000
Cd1 Cd 0.5000 0.5000 0.5000
Os1 Os 0.0000 0.5000 0.5000
```

Summary:
- ρ: 6734 kg/m³
- ΔE_f: 1949 meV/atom